# Na3Tl3CdHg2 GGA-PBE optimized geometry
data_Na3Tl3CdHg2
_chemical_formula_sum 'Na3 Tl3 Cd1 Hg2'
_symmetry_space_group_name_H-M 'P 1'
_symmetry_Int_Tables_number 1
_cell_length_a 3.509
_cell_length_b 8.919
_cell_length_c 8.919
_cell_angle_alpha 120.00
_cell_angle_beta 90.00
_cell_angle_gamma 90.00
loop_
_symmetry_equiv_pos_as_xyz
'x,y,z'
loop_
_atom_site_label
_atom_site_type_symbol
_atom_site_fract_x
_atom_site_fract_y
_atom_site_fract_z
Na1 Na 0.000 0.626 0.626
Na2 Na 0.000 0.000 0.374
Na3 Na 0.000 0.374 0.000
Tl1 Tl 0.500 0.702 0.000
Tl2 Tl 0.500 0.000 0.702
Tl3 Tl 0.500 0.298 0.298
Cd1 Cd 0.000 0.000 0.000
Hg1 Hg 0.500 0.667 0.333
Hg2 Hg 0.500 0.333 0.667
# Formation energy ... -135 kJ/mol of formula units

=====

# Sr2SmUN4 GGA-PBE optimized geometry
data_Sr2SmUN4
_chemical_formula_sum 'Sr2 Sm1 U1 N4'
_symmetry_space_group_name_H-M 'P 1'
_symmetry_Int_Tables_number 1
_cell_length_a 3.628
_cell_length_b 6.191
_cell_length_c 6.348
_cell_angle_alpha 109.01
_cell_angle_beta 90.00
_cell_angle_gamma 90.00
loop_
_symmetry_equiv_pos_as_xyz
'x,y,z'
loop_
_atom_site_label
_atom_site_type_symbol
_atom_site_fract_x
_atom_site_fract_y
_atom_site_fract_z
Sr1 Sr 0.500 0.000 0.500
Sr2 Sr 0.000 0.500 0.500
Sm1 Sm 0.500 0.500 0.000
U1 U 0.000 0.000 0.000
N1 N 0.500 0.216 0.202
N2 N 0.500 0.784 0.798
N3 N 0.000 0.230 0.800
N4 N 0.000 0.770 0.200
# Formation energy (no corrections) ... -940.0 kJ/mol of formula units

=====

The records above yield total energy values of -13.97 -62.41 eV per cell, respectively.